[1]
A plane-wave DFT calculation with PBE was carried out for an optimized crystal structure of ThMgHg6.

Geometry as POSCAR:
```
ThMgHg6
1.0
6.0746 0.0000 1.3570
2.8857 5.3454 1.3570
1.2680 0.7565 8.5985
Hg Mg Th
6 1 1
Direct
0.9311 0.9311 0.6881 Hg
0.0689 0.0689 0.3119 Hg
0.5504 0.0689 0.3119 Hg
0.0689 0.5504 0.3119 Hg
0.9311 0.4496 0.6881 Hg
0.4496 0.9311 0.6881 Hg
0.5000 0.5000 0.5000 Mg
0.0000 0.0000 0.0000 Th
```

## Properties
As for the crystal system: trigonal. The value obtained for the formation energy is 0.23 eV/atom. Its raw total energy is -1.1244 eV/atom.



[2]
A plane-wave DFT calculation with PBE was carried out for an optimized crystal structure of ZrOsBr2.

Geometry as POSCAR:
```
ZrOsBr2
1.0
-3.1056 -1.3781 1.6019
-0.1568 -2.6768 -2.6067
4.2048 -4.9962 3.8537
Zr Br Os
1 2 1
Direct
0.5000 0.7723 0.6664 Zr
0.5000 0.4707 0.3345 Br
0.0000 0.0051 0.9129 Br
0.0000 0.2518 0.5862 Os
```

## Properties
For the formation energy from raw total energies, the calculation gives -0.152 eV per atom. As for the crystal system: monoclinic. Its raw total energy is -5.9329 eV/atom.



no.,total moment (μB/atom),volume (Å³ per cell)
1,0.000,266.73
2,0.000,106.04